No. 1
The following is a GGA-PBEsol calculation of La2MgCu after structural relaxation, from Alexandria.

Spin magnetization   0.0 μB/f.u.
Formation energy   0.1112 eV per atom
SG   R-3m, No. 166

CIF file:
```
data_La2MgCu
_space_group_name_H-M_alt 'P 1'
_space_group_IT_number 1
_space_group_name_Hall 'P 1'
_cell_length_a 9.988
_cell_length_b 9.988
_cell_length_c 9.988
_cell_angle_alpha 20.89
_cell_angle_beta 20.89
_cell_angle_gamma 20.89
loop_
_atom_site_label
_atom_site_fract_x
_atom_site_fract_y
_atom_site_fract_z
La1 0.237 0.237 0.237
La2 0.763 0.763 0.763
Mg1 0.000 0.000 0.000
Cu1 0.500 0.500 0.500
```

***

No. 2
The following is a GGA-PBEsol calculation of LaMgCu2 after structural relaxation, from Alexandria.

Spin magnetization   0.0 μB/f.u.
Formation energy   -0.0788 eV per atom
SG   Amm2, No. 38

CIF file:
```
data_LaMgCu2
_space_group_name_H-M_alt 'P 1'
_space_group_IT_number 1
_space_group_name_Hall 'P 1'
_cell_length_a 4.149
_cell_length_b 5.440
_cell_length_c 5.440
_cell_angle_alpha 41.67
_cell_angle_beta 90.00
_cell_angle_gamma 90.00
loop_
_atom_site_label
_atom_site_fract_x
_atom_site_fract_y
_atom_site_fract_z
La1 0.000 0.000 0.000
Mg1 0.500 0.287 0.287
Cu1 0.000 0.720 0.720
Cu2 0.500 0.593 0.593
```

***

No. 3
The following is a GGA-PBEsol calculation of LaMgCu2 after structural relaxation, from Alexandria.

Spin magnetization   0.0 μB/f.u.
Formation energy   -0.1371 eV per atom
SG   P6_3/mmc, No. 194

CIF file:
```
data_LaMgCu2
_space_group_name_H-M_alt 'P 1'
_space_group_IT_number 1
_space_group_name_Hall 'P 1'
_cell_length_a 4.591
_cell_length_b 4.591
_cell_length_c 8.652
_cell_angle_alpha 90.00
_cell_angle_beta 90.00
_cell_angle_gamma 120.00
loop_
_atom_site_label
_atom_site_fract_x
_atom_site_fract_y
_atom_site_fract_z
La1 0.333 0.667 0.250
La2 0.667 0.333 0.750
Mg1 0.000 0.000 0.000
Mg2 0.000 0.000 0.500
Cu1 0.333 0.667 0.582
Cu2 0.333 0.667 0.918
Cu3 0.667 0.333 0.082
Cu4 0.667 0.333 0.418
```

***

No. 4
The following is a GGA-PBEsol calculation of La2MgCu after structural relaxation, from Alexandria.

Spin magnetization   0.0 μB/f.u.
Formation energy   -0.0402 eV per atom
SG   Imm2, No. 44

CIF file:
```
data_La2MgCu
_space_group_name_H-M_alt 'P 1'
_space_group_IT_number 1
_space_group_name_Hall 'P 1'
_cell_length_a 6.264
_cell_length_b 6.264
_cell_length_c 6.264
_cell_angle_alpha 146.25
_cell_angle_beta 131.40
_cell_angle_gamma 60.48
loop_
_atom_site_label
_atom_site_fract_x
_atom_site_fract_y
_atom_site_fract_z
La1 0.000 0.000 0.000
La2 0.684 0.184 0.500
Mg1 0.287 0.787 0.500
Cu1 0.463 0.463 0.000
```

***

No. 5
The following is a GGA-PBEsol calculation of LaMg2Cu2 after structural relaxation, from Alexandria.

Spin magnetization   0.0 μB/f.u.
Formation energy   -0.1102 eV per atom
E above lowest polymorph   0.00 eV per formula unit
SG   I4/mmm, No. 139

CIF file:
```
data_LaMg2Cu2
_space_group_name_H-M_alt 'P 1'
_space_group_IT_number 1
_space_group_name_Hall 'P 1'
_cell_length_a 6.742
_cell_length_b 6.742
_cell_length_c 6.742
_cell_angle_alpha 144.77
_cell_angle_beta 144.77
_cell_angle_gamma 50.67
loop_
_atom_site_label
_atom_site_fract_x
_atom_site_fract_y
_atom_site_fract_z
La1 0.000 0.000 0.000
Mg1 0.250 0.750 0.500
Mg2 0.750 0.250 0.500
Cu1 0.399 0.399 0.000
Cu2 0.601 0.601 0.000
```

***

No. 6
The following is a GGA-PBEsol calculation of La2MgCu after structural relaxation, from Alexandria.

Spin magnetization   0.0 μB/f.u.
Formation energy   -0.0787 eV per atom
SG   P4/mmm, No. 123

CIF file:
```
data_La2MgCu
_space_group_name_H-M_alt 'P 1'
_space_group_IT_number 1
_space_group_name_Hall 'P 1'
_cell_length_a 3.709
_cell_length_b 3.709
_cell_length_c 7.601
_cell_angle_alpha 90.00
_cell_angle_beta 90.00
_cell_angle_gamma 90.00
loop_
_atom_site_label
_atom_site_fract_x
_atom_site_fract_y
_atom_site_fract_z
La1 0.000 0.000 0.214
La2 0.000 0.000 0.786
Mg1 0.500 0.500 0.500
Cu1 0.500 0.500 0.000
```